# KRbNa2F4, optimized geometry, DFT PBE
# calculated volume	17.0	Å³ per atom
# formation energy (no corrections)	-2.6563	eV/atom
# space-group type	P2/m (10)
data_KRbNa2F4
_cell_length_a 3.614
_cell_length_b 6.353
_cell_length_c 6.262
_cell_angle_alpha 70.86
_cell_angle_beta 90.00
_cell_angle_gamma 90.00
_symmetry_space_group_name_H-M 'P 1'
_symmetry_Int_Tables_number 1
loop_
_symmetry_equiv_pos_as_xyz
'x,y,z'
loop_
_atom_site_label
_atom_site_type_symbol
_atom_site_fract_x
_atom_site_fract_y
_atom_site_fract_z
_atom_site_occupancy
F1 F 0.500 0.791 0.230 1
F2 F 0.000 0.783 0.744 1
F3 F 0.500 0.209 0.770 1
F4 F 0.000 0.217 0.256 1
Na1 Na 0.500 0.000 0.500 1
Na2 Na 0.000 0.000 0.000 1
Rb1 Rb 0.000 0.500 0.500 1
K1 K 0.500 0.500 0.000 1

# Ta3V8Sn, optimized geometry, DFT PBE
# calculated volume	15.3	Å³ per atom
# space-group type	P3m1 (156)
# formation energy	-55	meV/atom
data_Ta3V8Sn
_cell_length_a 5.051
_cell_length_b 5.051
_cell_length_c 8.306
_cell_angle_alpha 90.00
_cell_angle_beta 90.00
_cell_angle_gamma 120.00
_symmetry_space_group_name_H-M 'P 1'
_symmetry_Int_Tables_number 1
loop_
_symmetry_equiv_pos_as_xyz
'x,y,z'
loop_
_atom_site_label
_atom_site_type_symbol
_atom_site_fract_x
_atom_site_fract_y
_atom_site_fract_z
_atom_site_occupancy
V1 V 0.165 0.330 0.246 1
V2 V 0.670 0.835 0.246 1
V3 V 0.993 0.496 0.756 1
V4 V 0.503 0.007 0.756 1
V5 V 0.333 0.667 0.494 1
V6 V 0.165 0.835 0.246 1
V7 V 0.333 0.667 0.999 1
V8 V 0.503 0.496 0.756 1
Ta1 Ta 0.000 0.000 0.943 1
Ta2 Ta 0.667 0.333 0.431 1
Ta3 Ta 0.667 0.333 0.064 1
Sn1 Sn 0.000 0.000 0.565 1

# LiFe2Se, optimized geometry, DFT PBE
# calculated volume	12.8	Å³ per atom
# formation energy (no corrections)	0.0412	eV/atom
# space-group type	Imm2 (44)
data_LiFe2Se
_cell_length_a 4.500
_cell_length_b 4.500
_cell_length_c 3.690
_cell_angle_alpha 65.79
_cell_angle_beta 65.79
_cell_angle_gamma 49.96
_symmetry_space_group_name_H-M 'P 1'
_symmetry_Int_Tables_number 1
loop_
_symmetry_equiv_pos_as_xyz
'x,y,z'
loop_
_atom_site_label
_atom_site_type_symbol
_atom_site_fract_x
_atom_site_fract_y
_atom_site_fract_z
_atom_site_occupancy
Se1 Se 0.248 0.248 0.252 1
Fe1 Fe 0.753 0.753 0.747 1
Fe2 Fe 0.998 0.998 0.002 1
Li1 Li 0.500 0.500 0.500 1

# AlHSI2, optimized geometry, DFT PBE
# total energy	-12.61	eV for the cell shown
# calculated volume	24.8	Å³ per atom
# space-group type	P4/mmm (123)
data_AlHSI2
_cell_length_a 5.816
_cell_length_b 3.665
_cell_length_c 5.816
_cell_angle_alpha 90.00
_cell_angle_beta 90.00
_cell_angle_gamma 90.00
_symmetry_space_group_name_H-M 'P 1'
_symmetry_Int_Tables_number 1
loop_
_symmetry_equiv_pos_as_xyz
'x,y,z'
loop_
_atom_site_label
_atom_site_type_symbol
_atom_site_fract_x
_atom_site_fract_y
_atom_site_fract_z
_atom_site_occupancy
H1 H 0.000 0.500 0.000 1
I1 I 0.500 0.000 0.000 1
I2 I 0.000 0.000 0.500 1
S1 S 0.000 0.000 0.000 1
Al1 Al 0.500 0.500 0.500 1

# PrSmTlSn, optimized geometry, DFT PBE
# calculated volume	29.4	Å³ per atom
# excess energy over the best structure of this formula in the dataset	0.29	eV per formula unit
# space-group type	F-43m (216)
# formation energy	-504	meV/atom
data_PrSmTlSn
_cell_length_a 5.497
_cell_length_b 5.497
_cell_length_c 5.497
_cell_angle_alpha 60.00
_cell_angle_beta 60.00
_cell_angle_gamma 60.00
_symmetry_space_group_name_H-M 'P 1'
_symmetry_Int_Tables_number 1
loop_
_symmetry_equiv_pos_as_xyz
'x,y,z'
loop_
_atom_site_label
_atom_site_type_symbol
_atom_site_fract_x
_atom_site_fract_y
_atom_site_fract_z
_atom_site_occupancy
Tl1 Tl 0.750 0.750 0.750 1
Sm1 Sm 0.500 0.500 0.500 1
Sn1 Sn 0.250 0.250 0.250 1
Pr1 Pr 0.000 0.000 0.000 1

# Tb3Ho4Bi4, optimized geometry, DFT PBE
# calculated volume	30.6	Å³ per atom
# space-group type	Immm (71)
# formation energy	-530	meV/atom
data_Tb3Ho4Bi4
_cell_length_a 4.112
_cell_length_b 9.320
_cell_length_c 10.160
_cell_angle_alpha 117.30
_cell_angle_beta 101.67
_cell_angle_gamma 90.00
_symmetry_space_group_name_H-M 'P 1'
_symmetry_Int_Tables_number 1
loop_
_symmetry_equiv_pos_as_xyz
'x,y,z'
loop_
_atom_site_label
_atom_site_type_symbol
_atom_site_fract_x
_atom_site_fract_y
_atom_site_fract_z
_atom_site_occupancy
Bi1 Bi 0.261 0.761 0.521 1
Bi2 Bi 0.739 0.239 0.479 1
Bi3 Bi 0.500 0.795 0.000 1
Bi4 Bi 0.500 0.205 0.000 1
Tb1 Tb 0.000 0.500 0.000 1
Tb2 Tb 0.103 0.103 0.206 1
Tb3 Tb 0.897 0.897 0.794 1
Ho1 Ho 0.667 0.852 0.333 1
Ho2 Ho 0.333 0.148 0.667 1
Ho3 Ho 0.333 0.519 0.667 1
Ho4 Ho 0.667 0.481 0.333 1

# Li2TaIr, optimized geometry, DFT PBE
# calculated volume	15.5	Å³ per atom
# excess energy over the best structure of this formula in the dataset	0.22	eV per formula unit
# space-group type	Pmmm (47)
# formation energy	-105	meV/atom
data_Li2TaIr
_cell_length_a 3.051
_cell_length_b 4.255
_cell_length_c 4.776
_cell_angle_alpha 90.00
_cell_angle_beta 90.00
_cell_angle_gamma 90.00
_symmetry_space_group_name_H-M 'P 1'
_symmetry_Int_Tables_number 1
loop_
_symmetry_equiv_pos_as_xyz
'x,y,z'
loop_
_atom_site_label
_atom_site_type_symbol
_atom_site_fract_x
_atom_site_fract_y
_atom_site_fract_z
_atom_site_occupancy
Ir1 Ir 0.000 0.500 0.500 1
Ta1 Ta 0.500 0.000 0.500 1
Li1 Li 0.000 0.000 0.000 1
Li2 Li 0.500 0.500 0.000 1

# CsTa2Al, optimized geometry, DFT PBE
# calculated volume	28.6	Å³ per atom
# space-group type	I-42d (122)
# formation energy	1574	meV/atom
data_CsTa2Al
_cell_length_a 4.790
_cell_length_b 4.790
_cell_length_c 10.526
_cell_angle_alpha 76.85
_cell_angle_beta 76.85
_cell_angle_gamma 90.00
_symmetry_space_group_name_H-M 'P 1'
_symmetry_Int_Tables_number 1
loop_
_symmetry_equiv_pos_as_xyz
'x,y,z'
loop_
_atom_site_label
_atom_site_type_symbol
_atom_site_fract_x
_atom_site_fract_y
_atom_site_fract_z
_atom_site_occupancy
Al1 Al 0.250 0.750 0.500 1
Al2 Al 0.500 0.500 0.000 1
Ta1 Ta 0.875 0.515 0.750 1
Ta2 Ta 0.485 0.625 0.250 1
Ta3 Ta 0.265 0.125 0.250 1
Ta4 Ta 0.375 0.735 0.750 1
Cs1 Cs 0.000 0.000 0.000 1
Cs2 Cs 0.750 0.250 0.500 1

# Sn2Pd2Br, optimized geometry, DFT PBE
# calculated volume	21.2	Å³ per atom
# excess energy over the best structure of this formula in the dataset	0.00	eV per formula unit
# formation energy (no corrections)	-0.3000	eV/atom
# space-group type	P4/mbm (127)
data_Sn2Pd2Br
_cell_length_a 7.908
_cell_length_b 7.908
_cell_length_c 3.385
_cell_angle_alpha 90.00
_cell_angle_beta 90.00
_cell_angle_gamma 90.00
_symmetry_space_group_name_H-M 'P 1'
_symmetry_Int_Tables_number 1
loop_
_symmetry_equiv_pos_as_xyz
'x,y,z'
loop_
_atom_site_label
_atom_site_type_symbol
_atom_site_fract_x
_atom_site_fract_y
_atom_site_fract_z
_atom_site_occupancy
Sn1 Sn 0.342 0.158 0.500 1
Sn2 Sn 0.842 0.342 0.500 1
Sn3 Sn 0.158 0.658 0.500 1
Sn4 Sn 0.658 0.842 0.500 1
Br1 Br 0.000 0.000 0.000 1
Br2 Br 0.500 0.500 0.000 1
Pd1 Pd 0.869 0.631 0.000 1
Pd2 Pd 0.131 0.369 0.000 1
Pd3 Pd 0.631 0.131 0.000 1
Pd4 Pd 0.369 0.869 0.000 1

# ScRePt2, optimized geometry, DFT PBE
# calculated volume	16.2	Å³ per atom
# space-group type	Cm (8)
# formation energy	-497	meV/atom
data_ScRePt2
_cell_length_a 4.890
_cell_length_b 4.890
_cell_length_c 4.988
_cell_angle_alpha 80.74
_cell_angle_beta 80.74
_cell_angle_gamma 33.46
_symmetry_space_group_name_H-M 'P 1'
_symmetry_Int_Tables_number 1
loop_
_symmetry_equiv_pos_as_xyz
'x,y,z'
loop_
_atom_site_label
_atom_site_type_symbol
_atom_site_fract_x
_atom_site_fract_y
_atom_site_fract_z
_atom_site_occupancy
Pt1 Pt 0.999 0.999 0.014 1
Pt2 Pt 0.754 0.754 0.717 1
Sc1 Sc 0.249 0.249 0.228 1
Re1 Re 0.498 0.498 0.540 1

# YW3Br, optimized geometry, DFT PBE
# calculated volume	24.6	Å³ per atom
# excess energy over the best structure of this formula in the dataset	8.33	eV per formula unit
# formation energy (no corrections)	3.3388	eV/atom
# space-group type	Pm-3m (221)
data_YW3Br
_cell_length_a 4.975
_cell_length_b 4.975
_cell_length_c 4.975
_cell_angle_alpha 90.00
_cell_angle_beta 90.00
_cell_angle_gamma 90.00
_symmetry_space_group_name_H-M 'P 1'
_symmetry_Int_Tables_number 1
loop_
_symmetry_equiv_pos_as_xyz
'x,y,z'
loop_
_atom_site_label
_atom_site_type_symbol
_atom_site_fract_x
_atom_site_fract_y
_atom_site_fract_z
_atom_site_occupancy
W1 W 0.000 0.500 0.000 1
W2 W 0.000 0.000 0.500 1
W3 W 0.500 0.000 0.000 1
Y1 Y 0.000 0.000 0.000 1
Br1 Br 0.500 0.500 0.500 1

# BaAcNd2S4, optimized geometry, DFT PBE
# calculated volume	26.8	Å³ per atom
# formation energy (no corrections)	-2.0041	eV/atom
# space-group type	P2/m (10)
data_BaAcNd2S4
_cell_length_a 4.193
_cell_length_b 7.393
_cell_length_c 7.313
_cell_angle_alpha 71.08
_cell_angle_beta 90.00
_cell_angle_gamma 90.00
_symmetry_space_group_name_H-M 'P 1'
_symmetry_Int_Tables_number 1
loop_
_symmetry_equiv_pos_as_xyz
'x,y,z'
loop_
_atom_site_label
_atom_site_type_symbol
_atom_site_fract_x
_atom_site_fract_y
_atom_site_fract_z
_atom_site_occupancy
S1 S 0.000 0.768 0.749 1
S2 S 0.500 0.773 0.236 1
S3 S 0.000 0.232 0.251 1
S4 S 0.500 0.227 0.764 1
Nd1 Nd 0.000 0.000 0.000 1
Nd2 Nd 0.500 0.000 0.500 1
Ba1 Ba 0.000 0.500 0.500 1
Ac1 Ac 0.500 0.500 0.000 1